Ti2MoPdN after structural relaxation, computed with PBE.

Summary:
* mass density: 7.4 g/cm3
* raw formation energy: -3.71 eV per formula unit
* E_tot: -8.769 eV per atom
* DOS(E_F): 5.28 states/eV/cell
* symmetry: P4/mmm

Lattice parameters (Å, degrees): 4.149 4.149 4.041 90.00 90.00 90.00
Sites, in units of the cell vectors:
Ti 0.000 0.500 0.000
Ti 0.500 0.000 0.000
Mo 0.000 0.000 0.500
Pd 0.500 0.500 0.500
N 0.000 0.000 0.000


SrMg2As after structural relaxation, computed with PBE.

Summary:
* mass density: 3.2 g/cm3
* E_tot: -2.859 eV per atom
* DOS(E_F): 1.05 states/eV/cell
* symmetry: Pm
* formation energy: -0.48 eV per atom

Lattice parameters (Å, degrees): 4.572 4.039 6.446 90.00 110.77 90.00
Sites, in units of the cell vectors:
Sr 0.000 0.000 0.000
Mg 0.290 0.000 0.579
Mg 0.680 0.500 0.364
As 0.442 0.500 0.885


CrOs2Pt after structural relaxation, computed with PBE.

Summary:
* mass density: 18.4 g/cm3
* E_tot: -9.487 eV per atom
* DOS(E_F): 3.99 states/eV/cell
* symmetry: P4mm
* formation energy: 0.04 eV per atom

Lattice parameters (Å, degrees): 2.708 2.708 7.700 90.00 90.00 90.00
Sites, in units of the cell vectors:
Cr 0.000 0.000 0.000
Os 0.000 0.000 0.484
Os 0.500 0.500 0.245
Pt 0.500 0.500 0.758


LiBSbH6 after structural relaxation, computed with PBE.

Summary:
* mass density: 2.2 g/cm3
* E_tot: -3.739 eV per atom
* DOS(E_F): 1.24 states/eV/cell
* symmetry: P1

Lattice parameters (Å, degrees): 3.423 4.419 7.832 83.52 79.85 67.66
Sites, in units of the cell vectors:
Li 0.000 0.000 0.000
B 0.802 0.557 0.046
Sb 0.051 0.142 0.492
H 0.022 0.023 0.712
H 0.127 0.402 0.951
H 0.587 0.771 0.948
H 0.609 0.388 0.120
H 0.824 0.551 0.546
H 0.892 0.680 0.158


- Which value of DOS(E_F) does entry 4 give?
  1.24 states/eV/cell


- Among the records above, which one has the lowest E_tot?
  CrOs2Pt


Please write out number 1 again, unchanged.
Ti2MoPdN after structural relaxation, computed with PBE.

Summary:
* mass density: 7.4 g/cm3
* raw formation energy: -3.71 eV per formula unit
* E_tot: -8.769 eV per atom
* DOS(E_F): 5.28 states/eV/cell
* symmetry: P4/mmm

Lattice parameters (Å, degrees): 4.149 4.149 4.041 90.00 90.00 90.00
Sites, in units of the cell vectors:
Ti 0.000 0.500 0.000
Ti 0.500 0.000 0.000
Mo 0.000 0.000 0.500
Pd 0.500 0.500 0.500
N 0.000 0.000 0.000